w.
Below is a relaxed Li2PmMg crystal, with properties calculated at the GGA-PBE level.

CIF file:
```
data_Li2PmMg
_chemical_formula_sum 'Li2 Pm1 Mg1'
_symmetry_space_group_name_H-M 'P 1'
_symmetry_Int_Tables_number 1
_cell_length_a 3.3714
_cell_length_b 5.3180
_cell_length_c 5.3180
_cell_angle_alpha 90.00
_cell_angle_beta 90.00
_cell_angle_gamma 90.00
loop_
_symmetry_equiv_pos_as_xyz
'x,y,z'
loop_
_atom_site_label
_atom_site_fract_x
_atom_site_fract_y
_atom_site_fract_z
Li1 0.0000 0.5000 0.0000
Li2 0.0000 0.0000 0.5000
Mg1 0.5000 0.0000 0.0000
Pm1 0.5000 0.5000 0.5000
```

Output
crystal system	tetragonal



x.
Below is a relaxed Li2PmMg crystal, with properties calculated at the GGA-PBE level.

CIF file:
```
data_Li2PmMg
_chemical_formula_sum 'Li2 Pm1 Mg1'
_symmetry_space_group_name_H-M 'P 1'
_symmetry_Int_Tables_number 1
_cell_length_a 5.1000
_cell_length_b 5.1000
_cell_length_c 5.1000
_cell_angle_alpha 60.00
_cell_angle_beta 60.00
_cell_angle_gamma 60.00
loop_
_symmetry_equiv_pos_as_xyz
'x,y,z'
loop_
_atom_site_label
_atom_site_fract_x
_atom_site_fract_y
_atom_site_fract_z
Li1 0.7500 0.7500 0.7500
Li2 0.2500 0.2500 0.2500
Mg1 0.5000 0.5000 0.5000
Pm1 0.0000 0.0000 0.0000
```

Output
crystal system	cubic



y.
Below is a relaxed Li2PmMg crystal, with properties calculated at the GGA-PBE level.

CIF file:
```
data_Li2PmMg
_chemical_formula_sum 'Li2 Pm1 Mg1'
_symmetry_space_group_name_H-M 'P 1'
_symmetry_Int_Tables_number 1
_cell_length_a 3.5708
_cell_length_b 3.5708
_cell_length_c 7.4248
_cell_angle_alpha 90.00
_cell_angle_beta 90.00
_cell_angle_gamma 90.00
loop_
_symmetry_equiv_pos_as_xyz
'x,y,z'
loop_
_atom_site_label
_atom_site_fract_x
_atom_site_fract_y
_atom_site_fract_z
Mg1 0.5000 0.5000 0.0000
Li1 0.0000 0.0000 0.7904
Li2 0.0000 0.0000 0.2096
Pm1 0.5000 0.5000 0.5000
```

Output
crystal system	tetragonal



z.
Below is a relaxed Li2PmMg crystal, with properties calculated at the GGA-PBE level.

CIF file:
```
data_Li2PmMg
_chemical_formula_sum 'Li2 Pm1 Mg1'
_symmetry_space_group_name_H-M 'P 1'
_symmetry_Int_Tables_number 1
_cell_length_a 3.3377
_cell_length_b 3.3377
_cell_length_c 10.6438
_cell_angle_alpha 80.98
_cell_angle_beta 80.98
_cell_angle_gamma 60.00
loop_
_symmetry_equiv_pos_as_xyz
'x,y,z'
loop_
_atom_site_label
_atom_site_fract_x
_atom_site_fract_y
_atom_site_fract_z
Mg1 0.6669 0.6669 0.9992
Li1 0.0768 0.0768 0.7695
Li2 0.2565 0.2565 0.2305
Pm1 0.4997 0.4997 0.5008
```

Output
crystal system	trigonal



Last place for stability: w



w.
Below is a relaxed LiPm2Mg crystal, with properties calculated at the GGA-PBE level.

CIF file:
```
data_LiPm2Mg
_chemical_formula_sum 'Li1 Pm2 Mg1'
_symmetry_space_group_name_H-M 'P 1'
_symmetry_Int_Tables_number 1
_cell_length_a 3.4227
_cell_length_b 3.4227
_cell_length_c 12.2615
_cell_angle_alpha 81.98
_cell_angle_beta 81.98
_cell_angle_gamma 60.00
loop_
_symmetry_equiv_pos_as_xyz
'x,y,z'
loop_
_atom_site_label
_atom_site_fract_x
_atom_site_fract_y
_atom_site_fract_z
Li1 0.0000 0.0000 0.0000
Pm1 0.9086 0.9086 0.2742
Pm2 0.0914 0.0914 0.7258
Mg1 0.5000 0.5000 0.5000
```

Output
crystal system	trigonal



x.
Below is a relaxed LiPm2Mg crystal, with properties calculated at the GGA-PBE level.

CIF file:
```
data_LiPm2Mg
_chemical_formula_sum 'Li1 Pm2 Mg1'
_symmetry_space_group_name_H-M 'P 1'
_symmetry_Int_Tables_number 1
_cell_length_a 3.8604
_cell_length_b 3.8604
_cell_length_c 7.5815
_cell_angle_alpha 90.00
_cell_angle_beta 90.00
_cell_angle_gamma 90.00
loop_
_symmetry_equiv_pos_as_xyz
'x,y,z'
loop_
_atom_site_label
_atom_site_fract_x
_atom_site_fract_y
_atom_site_fract_z
Pm1 0.0000 0.0000 0.7496
Pm2 0.0000 0.0000 0.2504
Li1 0.5000 0.5000 0.0000
Mg1 0.5000 0.5000 0.5000
```

Output
crystal system	tetragonal



y.
Below is a relaxed LiPm2Mg crystal, with properties calculated at the GGA-PBE level.

CIF file:
```
data_LiPm2Mg
_chemical_formula_sum 'Li1 Pm2 Mg1'
_symmetry_space_group_name_H-M 'P 1'
_symmetry_Int_Tables_number 1
_cell_length_a 5.4342
_cell_length_b 5.4342
_cell_length_c 5.4342
_cell_angle_alpha 60.00
_cell_angle_beta 60.00
_cell_angle_gamma 60.00
loop_
_symmetry_equiv_pos_as_xyz
'x,y,z'
loop_
_atom_site_label
_atom_site_fract_x
_atom_site_fract_y
_atom_site_fract_z
Li1 0.5000 0.5000 0.5000
Mg1 0.0000 0.0000 0.0000
Pm1 0.7500 0.7500 0.7500
Pm2 0.2500 0.2500 0.2500
```

Output
crystal system	cubic



Last place for stability: w



w.
Below is a relaxed LiPm2Mg3 crystal, with properties calculated at the GGA-PBE level.

CIF file:
```
data_LiPm2Mg3
_chemical_formula_sum 'Li1 Pm2 Mg3'
_symmetry_space_group_name_H-M 'P 1'
_symmetry_Int_Tables_number 1
_cell_length_a 3.7410
_cell_length_b 3.7410
_cell_length_c 11.4169
_cell_angle_alpha 90.00
_cell_angle_beta 90.00
_cell_angle_gamma 90.00
loop_
_symmetry_equiv_pos_as_xyz
'x,y,z'
loop_
_atom_site_label
_atom_site_fract_x
_atom_site_fract_y
_atom_site_fract_z
Mg1 0.0000 0.0000 0.3571
Mg2 0.0000 0.0000 0.6429
Mg3 0.0000 0.0000 0.0000
Pm1 0.5000 0.5000 0.8294
Pm2 0.5000 0.5000 0.1706
Li1 0.5000 0.5000 0.5000
```

Output
crystal system	tetragonal



x.
Below is a relaxed LiPm2Mg3 crystal, with properties calculated at the GGA-PBE level.

CIF file:
```
data_LiPm2Mg3
_chemical_formula_sum 'Li2 Pm4 Mg6'
_symmetry_space_group_name_H-M 'P 1'
_symmetry_Int_Tables_number 1
_cell_length_a 6.1353
_cell_length_b 6.1353
_cell_length_c 9.7516
_cell_angle_alpha 90.00
_cell_angle_beta 90.00
_cell_angle_gamma 120.00
loop_
_symmetry_equiv_pos_as_xyz
'x,y,z'
loop_
_atom_site_label
_atom_site_fract_x
_atom_site_fract_y
_atom_site_fract_z
Pm1 0.3333 0.6667 0.5711
Pm2 0.6667 0.3333 0.0711
Pm3 0.3333 0.6667 0.9289
Pm4 0.6667 0.3333 0.4289
Li1 0.0000 0.0000 0.5000
Li2 0.0000 0.0000 0.0000
Mg1 0.8310 0.1690 0.7500
Mg2 0.3381 0.1690 0.7500
Mg3 0.6619 0.8310 0.2500
Mg4 0.1690 0.8310 0.2500
Mg5 0.8310 0.6619 0.7500
Mg6 0.1690 0.3381 0.2500
```

Output
crystal system	hexagonal



Last place for stability: x



w.
Below is a relaxed LiPr2Mg3 crystal, with properties calculated at the GGA-PBE level.

CIF file:
```
data_LiPr2Mg3
_chemical_formula_sum 'Li1 Pr2 Mg3'
_symmetry_space_group_name_H-M 'P 1'
_symmetry_Int_Tables_number 1
_cell_length_a 3.7872
_cell_length_b 3.7872
_cell_length_c 11.4806
_cell_angle_alpha 90.00
_cell_angle_beta 90.00
_cell_angle_gamma 90.00
loop_
_symmetry_equiv_pos_as_xyz
'x,y,z'
loop_
_atom_site_label
_atom_site_fract_x
_atom_site_fract_y
_atom_site_fract_z
Li1 0.5000 0.5000 0.5000
Pr1 0.5000 0.5000 0.1725
Pr2 0.5000 0.5000 0.8275
Mg1 0.0000 0.0000 0.0000
Mg2 0.0000 0.0000 0.3591
Mg3 0.0000 0.0000 0.6409
```

Output
crystal system	tetragonal



x.
Below is a relaxed LiPr2Mg3 crystal, with properties calculated at the GGA-PBE level.

CIF file:
```
data_LiPr2Mg3
_chemical_formula_sum 'Li2 Pr4 Mg6'
_symmetry_space_group_name_H-M 'P 1'
_symmetry_Int_Tables_number 1
_cell_length_a 6.1863
_cell_length_b 6.1863
_cell_length_c 9.8283
_cell_angle_alpha 90.00
_cell_angle_beta 90.00
_cell_angle_gamma 120.00
loop_
_symmetry_equiv_pos_as_xyz
'x,y,z'
loop_
_atom_site_label
_atom_site_fract_x
_atom_site_fract_y
_atom_site_fract_z
Mg1 0.8315 0.1685 0.7500
Mg2 0.3369 0.1685 0.7500
Mg3 0.1685 0.3369 0.2500
Mg4 0.1685 0.8315 0.2500
Mg5 0.8315 0.6631 0.7500
Mg6 0.6631 0.8315 0.2500
Li1 0.0000 0.0000 0.5000
Li2 0.0000 0.0000 0.0000
Pr1 0.6667 0.3333 0.4278
Pr2 0.6667 0.3333 0.0722
Pr3 0.3333 0.6667 0.9278
Pr4 0.3333 0.6667 0.5722
```

Output
crystal system	hexagonal



Last place for stability: x



w.
Below is a relaxed LiPrMg crystal, with properties calculated at the GGA-PBE level.

CIF file:
```
data_LiPrMg
_chemical_formula_sum 'Li2 Pr2 Mg2'
_symmetry_space_group_name_H-M 'P 1'
_symmetry_Int_Tables_number 1
_cell_length_a 3.5623
_cell_length_b 3.5527
_cell_length_c 12.5344
_cell_angle_alpha 90.01
_cell_angle_beta 90.00
_cell_angle_gamma 90.00
loop_
_symmetry_equiv_pos_as_xyz
'x,y,z'
loop_
_atom_site_label
_atom_site_fract_x
_atom_site_fract_y
_atom_site_fract_z
Pr1 0.8725 0.2910 0.1467
Pr2 0.3723 0.7913 0.3656
Mg1 0.8719 0.2914 0.5591
Mg2 0.3722 0.7906 0.9532
Li1 0.8730 0.2910 0.8214
Li2 0.3727 0.7914 0.6909
```

Output
crystal system	tetragonal



x.
Below is a relaxed LiPrMg crystal, with properties calculated at the GGA-PBE level.

CIF file:
```
data_LiPrMg
_chemical_formula_sum 'Li1 Pr1 Mg1'
_symmetry_space_group_name_H-M 'P 1'
_symmetry_Int_Tables_number 1
_cell_length_a 3.4670
_cell_length_b 3.4670
_cell_length_c 7.0290
_cell_angle_alpha 104.28
_cell_angle_beta 104.28
_cell_angle_gamma 90.00
loop_
_symmetry_equiv_pos_as_xyz
'x,y,z'
loop_
_atom_site_label
_atom_site_fract_x
_atom_site_fract_y
_atom_site_fract_z
Mg1 0.6363 0.6363 0.2726
Pr1 0.9498 0.9498 0.8997
Li1 0.2639 0.2639 0.5278
```

Output
crystal system	tetragonal



Last place for stability: x



w.
Below is a relaxed Li2PrMg9 crystal, with properties calculated at the GGA-PBE level.

CIF file:
```
data_Li2PrMg9
_chemical_formula_sum 'Li2 Pr1 Mg9'
_symmetry_space_group_name_H-M 'P 1'
_symmetry_Int_Tables_number 1
_cell_length_a 3.2828
_cell_length_b 9.9451
_cell_length_c 9.9451
_cell_angle_alpha 120.00
_cell_angle_beta 90.00
_cell_angle_gamma 90.00
loop_
_symmetry_equiv_pos_as_xyz
'x,y,z'
loop_
_atom_site_label
_atom_site_fract_x
_atom_site_fract_y
_atom_site_fract_z
Mg1 0.5000 0.6364 0.8182
Mg2 0.0000 0.5000 0.0000
Mg3 0.5000 0.8182 0.1818
Mg4 0.5000 0.8182 0.6364
Mg5 0.0000 0.0000 0.5000
Mg6 0.5000 0.3636 0.1818
Mg7 0.0000 0.5000 0.5000
Mg8 0.5000 0.1818 0.3636
Mg9 0.5000 0.1818 0.8182
Pr1 0.0000 0.0000 0.0000
Li1 0.0000 0.3333 0.6667
Li2 0.0000 0.6667 0.3333
```

Output
crystal system	hexagonal



x.
Below is a relaxed Li2PrMg9 crystal, with properties calculated at the GGA-PBE level.

CIF file:
```
data_Li2PrMg9
_chemical_formula_sum 'Li4 Pr2 Mg18'
_symmetry_space_group_name_H-M 'P 1'
_symmetry_Int_Tables_number 1
_cell_length_a 7.7123
_cell_length_b 9.3706
_cell_length_c 9.3706
_cell_angle_alpha 80.25
_cell_angle_beta 65.70
_cell_angle_gamma 65.70
loop_
_symmetry_equiv_pos_as_xyz
'x,y,z'
loop_
_atom_site_label
_atom_site_fract_x
_atom_site_fract_y
_atom_site_fract_z
Mg1 0.6760 0.5792 0.1774
Mg2 0.4325 0.4208 0.8226
Mg3 0.6760 0.1774 0.5792
Mg4 0.0740 0.9208 0.3226
Mg5 0.3175 0.6774 0.0792
Mg6 0.3175 0.0792 0.6774
Mg7 0.7448 0.8226 0.5792
Mg8 0.0740 0.3226 0.9208
Mg9 0.6034 0.0792 0.3226
Mg10 0.1466 0.4208 0.1774
Mg11 0.6034 0.3226 0.0792
Mg12 0.0000 0.0000 0.0000
Mg13 0.4325 0.8226 0.4208
Mg14 0.1466 0.1774 0.4208
Mg15 0.0052 0.9208 0.6774
Mg16 0.0052 0.6774 0.9208
Mg17 0.7448 0.5792 0.8226
Mg18 0.7500 0.5000 0.5000
Pr1 0.2500 0.5000 0.5000
Pr2 0.5000 0.0000 0.0000
Li1 0.8750 0.2500 0.2500
Li2 0.8750 0.7500 0.2500
Li3 0.3750 0.7500 0.7500
Li4 0.8750 0.2500 0.7500
```

Output
crystal system	tetragonal



Last place for stability: w



w.
Below is a relaxed LiMg2Pt2 crystal, with properties calculated at the GGA-PBE level.

CIF file:
```
data_LiMg2Pt2
_chemical_formula_sum 'Li2 Mg4 Pt4'
_symmetry_space_group_name_H-M 'P 1'
_symmetry_Int_Tables_number 1
_cell_length_a 7.6867
_cell_length_b 7.6867
_cell_length_c 2.9268
_cell_angle_alpha 90.00
_cell_angle_beta 90.00
_cell_angle_gamma 90.00
loop_
_symmetry_equiv_pos_as_xyz
'x,y,z'
loop_
_atom_site_label
_atom_site_fract_x
_atom_site_fract_y
_atom_site_fract_z
Mg1 0.8522 0.3522 0.5000
Mg2 0.3522 0.1478 0.5000
Mg3 0.6478 0.8522 0.5000
Mg4 0.1478 0.6478 0.5000
Pt1 0.8509 0.6491 0.0000
Pt2 0.3509 0.8509 0.0000
Pt3 0.6491 0.1491 0.0000
Pt4 0.1491 0.3509 0.0000
Li1 0.0000 0.0000 0.0000
Li2 0.5000 0.5000 0.0000
```

Output
crystal system	tetragonal



x.
Below is a relaxed LiMg2Pt2 crystal, with properties calculated at the GGA-PBE level.

CIF file:
```
data_LiMg2Pt2
_chemical_formula_sum 'Li1 Mg2 Pt2'
_symmetry_space_group_name_H-M 'P 1'
_symmetry_Int_Tables_number 1
_cell_length_a 4.1430
_cell_length_b 4.1430
_cell_length_c 6.4940
_cell_angle_alpha 71.40
_cell_angle_beta 71.40
_cell_angle_gamma 90.00
loop_
_symmetry_equiv_pos_as_xyz
'x,y,z'
loop_
_atom_site_label
_atom_site_fract_x
_atom_site_fract_y
_atom_site_fract_z
Pt1 0.3891 0.3891 0.2219
Pt2 0.6109 0.6109 0.7781
Li1 0.0000 0.0000 0.0000
Mg1 0.2500 0.7500 0.5000
Mg2 0.7500 0.2500 0.5000
```

Output
crystal system	tetragonal



Last place for stability: x



w.
Below is a relaxed Li2Mg2Pt crystal, with properties calculated at the GGA-PBE level.

CIF file:
```
data_Li2Mg2Pt
_chemical_formula_sum 'Li2 Mg2 Pt1'
_symmetry_space_group_name_H-M 'P 1'
_symmetry_Int_Tables_number 1
_cell_length_a 4.9023
_cell_length_b 4.3503
_cell_length_c 5.1193
_cell_angle_alpha 64.86
_cell_angle_beta 61.39
_cell_angle_gamma 90.00
loop_
_symmetry_equiv_pos_as_xyz
'x,y,z'
loop_
_atom_site_label
_atom_site_fract_x
_atom_site_fract_y
_atom_site_fract_z
Li1 0.2579 0.5000 0.0000
Li2 0.7421 0.5000 0.0000
Mg1 0.6974 0.1974 0.6053
Mg2 0.3026 0.8026 0.3947
Pt1 0.0000 0.0000 0.0000
```

Output
crystal system	orthorhombic



x.
Below is a relaxed Li2Mg2Pt crystal, with properties calculated at the GGA-PBE level.

CIF file:
```
data_Li2Mg2Pt
_chemical_formula_sum 'Li4 Mg4 Pt2'
_symmetry_space_group_name_H-M 'P 1'
_symmetry_Int_Tables_number 1
_cell_length_a 3.7997
_cell_length_b 5.9546
_cell_length_c 9.2364
_cell_angle_alpha 120.33
_cell_angle_beta 101.96
_cell_angle_gamma 90.04
loop_
_symmetry_equiv_pos_as_xyz
'x,y,z'
loop_
_atom_site_label
_atom_site_fract_x
_atom_site_fract_y
_atom_site_fract_z
Pt1 0.0000 0.7500 0.0000
Pt2 0.0000 0.2500 0.0000
Li1 0.1971 0.5499 0.3936
Li2 0.8029 0.9501 0.6064
Li3 0.1971 0.0499 0.3936
Li4 0.8029 0.4501 0.6064
Mg1 0.5911 0.6406 0.1821
Mg2 0.5911 0.1406 0.1821
Mg3 0.4089 0.8594 0.8179
Mg4 0.4089 0.3594 0.8179
```

Output
crystal system	triclinic



y.
Below is a relaxed Li2Mg2Pt crystal, with properties calculated at the GGA-PBE level.

CIF file:
```
data_Li2Mg2Pt
_chemical_formula_sum 'Li4 Mg4 Pt2'
_symmetry_space_group_name_H-M 'P 1'
_symmetry_Int_Tables_number 1
_cell_length_a 6.7436
_cell_length_b 6.7436
_cell_length_c 4.4273
_cell_angle_alpha 90.00
_cell_angle_beta 90.00
_cell_angle_gamma 90.00
loop_
_symmetry_equiv_pos_as_xyz
'x,y,z'
loop_
_atom_site_label
_atom_site_fract_x
_atom_site_fract_y
_atom_site_fract_z
Pt1 0.5000 0.5000 0.0000
Pt2 0.0000 0.0000 0.0000
Mg1 0.8477 0.6523 0.0000
Mg2 0.3477 0.8477 0.0000
Mg3 0.6523 0.1523 0.0000
Mg4 0.1523 0.3477 0.0000
Li1 0.8293 0.3293 0.5000
Li2 0.1707 0.6707 0.5000
Li3 0.6707 0.8293 0.5000
Li4 0.3293 0.1707 0.5000
```

Output
crystal system	tetragonal



Last place for stability: y